# 1
Entry from Alexandria via LeMat-Bulk: crystalline GaW3Au at its relaxed geometry (PBE-GGA).

Computed properties:
formation energy = 1.829 eV per atom
space group = Pm-3m (221)

Cell: 4.567 4.567 4.567 Å, 90.00 90.00 90.00°
Positions (direct):
Au: 0.500 0.500 0.500
W: 0.000 0.500 0.000
Ga: 0.000 0.000 0.000
W: 0.000 0.000 0.500
W: 0.500 0.000 0.000


# 2
Entry from Alexandria via LeMat-Bulk: crystalline Be2CuTe at its relaxed geometry (PBE-GGA).

Computed properties:
space group = Pm (6)
E = -3.41 eV per atom

Cell: 3.619 3.623 5.457 Å, 70.64 90.00 90.00°
Positions (direct):
Te: 0.500 0.031 0.811
Be: 0.000 0.864 0.148
Be: 0.500 0.370 0.134
Cu: 0.000 0.234 0.407


# 3
Entry from Alexandria via LeMat-Bulk: crystalline LaSc2Ru at its relaxed geometry (PBE-GGA).

Computed properties:
formation energy = 0.045 eV per atom
space group = I4/mmm (139)

Cell: 5.820 5.820 5.820 Å, 137.52 137.52 61.64°
Positions (direct):
Sc: 0.500 0.500 0.000
Ru: 0.750 0.250 0.500
La: 0.250 0.750 0.500
Sc: 0.000 0.000 0.000


# 4
Entry from Alexandria via LeMat-Bulk: crystalline Rb2NaPuH6 at its relaxed geometry (PBE-GGA).

Computed properties:
space group = Fm-3m (225)
E = -3.85 eV per atom

Cell: 6.419 6.419 6.420 Å, 59.98 59.99 89.99°
Positions (direct):
Pu: 0.500 0.500 0.000
Rb: 0.250 0.750 0.500
H: 0.255 0.255 0.491
Rb: 0.750 0.250 0.500
H: 0.255 0.745 0.000
H: 0.745 0.255 0.000
H: 0.745 0.745 0.000
H: 0.745 0.745 0.509
H: 0.255 0.255 0.000
Na: 0.000 0.000 0.000


# 5
Entry from Alexandria via LeMat-Bulk: crystalline SmThMg at its relaxed geometry (PBE-GGA).

Computed properties:
formation energy = 0.032 eV per atom
space group = C2/m (12)

Cell: 3.541 3.541 17.922 Å, 107.33 107.33 59.87°
Positions (direct):
Mg: 0.809 0.809 0.325
Sm: 0.310 0.310 0.494
Th: 0.817 0.817 0.667
Sm: 0.825 0.825 0.009
Th: 0.319 0.319 0.836
Mg: 0.327 0.327 0.177


# 6
Entry from Alexandria via LeMat-Bulk: crystalline Lu2PaCd at its relaxed geometry (PBE-GGA).

Computed properties:
formation energy = -0.072 eV per atom
space group = P4/mmm (123)

Cell: 3.378 3.378 9.046 Å, 90.00 90.00 90.00°
Positions (direct):
Cd: 0.500 0.500 0.000
Pa: 0.500 0.500 0.500
Lu: 0.000 0.000 0.240
Lu: 0.000 0.000 0.760